Record 1
Ca2Nd4Y after structural relaxation, computed with PBE.

Properties
**Offset from the most stable computed form**: 3.39 eV per formula unit
**DOS(E_F)**: 12.5 states/eV/f.u.
**Symmetry**: I4/mmm (139)
**Crystal system**: tetragonal

a = 9.8945 Å, b = 9.8945 Å, c = 9.8945 Å
α = 146.06°, β = 146.06°, γ = 48.75°
Positions (direct):
Ca1 0.1262 0.1262 0.0000
Ca2 0.8738 0.8738 0.0000
Nd1 0.0000 0.5000 0.5000
Nd2 0.3266 0.3266 0.0000
Nd3 0.5000 0.0000 0.5000
Nd4 0.6734 0.6734 0.0000
Y1 0.5000 0.5000 0.0000

---

Record 2
CaNd8Y5 after structural relaxation, computed with PBE.

Properties
**Uncorrected energy**: -0.1813 Ha/atom
**DOS(E_F)**: 22.1 states/eV/f.u.
**Symmetry**: I-4 (82)
**Crystal system**: tetragonal

a = 8.6886 Å, b = 8.6886 Å, c = 8.6886 Å
α = 111.13°, β = 111.13°, γ = 106.19°
Positions (direct):
Ca1 0.0000 0.0000 0.0000
Nd1 0.0971 0.6737 0.7672
Nd2 0.2797 0.5218 0.1031
Nd3 0.3263 0.0935 0.4234
Nd4 0.4187 0.1766 0.8969
Nd5 0.4782 0.5813 0.7579
Nd6 0.6701 0.9029 0.5766
Nd7 0.8234 0.7203 0.2421
Nd8 0.9065 0.3299 0.2328
Y1 0.0256 0.2107 0.5900
Y2 0.2500 0.7500 0.5000
Y3 0.5644 0.9744 0.1852
Y4 0.6208 0.4356 0.4100
Y5 0.7893 0.3792 0.8148

---

Record 3
CaNd5Y8 after structural relaxation, computed with PBE.

Properties
**Uncorrected energy**: -0.1956 Ha/atom
**DOS(E_F)**: 18.7 states/eV/f.u.
**Symmetry**: I-4 (82)
**Crystal system**: tetragonal

a = 8.5918 Å, b = 8.5918 Å, c = 8.5918 Å
α = 110.92°, β = 110.92°, γ = 106.62°
Positions (direct):
Ca1 0.0000 0.0000 0.0000
Nd1 0.0394 0.4342 0.8217
Nd2 0.2500 0.7500 0.5000
Nd3 0.5658 0.3875 0.6052
Nd4 0.6125 0.2177 0.1783
Nd5 0.7823 0.9606 0.3948
Y1 0.0902 0.3326 0.4139
Y2 0.2770 0.1739 0.7499
Y3 0.3237 0.9098 0.2424
Y4 0.4240 0.5271 0.2501
Y5 0.4729 0.7230 0.8969
Y6 0.6674 0.0813 0.7576
Y7 0.8261 0.5760 0.1031
Y8 0.9187 0.6763 0.5861

---

Record 4
Ca2Nd5Y4 after structural relaxation, computed with PBE.

Properties
**Uncorrected energy**: -0.1730 Ha/atom
**DOS(E_F)**: 17.5 states/eV/f.u.
**Symmetry**: C2/m (12)
**Crystal system**: monoclinic

a = 9.3265 Å, b = 9.3265 Å, c = 6.7786 Å
α = 99.02°, β = 99.02°, γ = 42.92°
Positions (direct):
Ca1 0.2015 0.2015 0.3322
Ca2 0.7985 0.7985 0.6678
Nd1 0.0000 0.0000 0.5000
Nd2 0.1781 0.6495 0.0998
Nd3 0.3505 0.8219 0.9002
Nd4 0.6495 0.1781 0.0998
Nd5 0.8219 0.3505 0.9002
Y1 0.2488 0.2488 0.8505
Y2 0.4154 0.4154 0.6030
Y3 0.5846 0.5846 0.3970
Y4 0.7512 0.7512 0.1495

---

Record 5
CaNd2Y after structural relaxation, computed with PBE.

Properties
**Offset from the most stable computed form**: 0.33 eV per formula unit
**DOS(E_F)**: 6.8 states/eV/f.u.
**Symmetry**: Fm-3m (225)
**Crystal system**: cubic

a = 5.8654 Å, b = 5.8654 Å, c = 5.8654 Å
α = 60.00°, β = 60.00°, γ = 60.00°
Positions (direct):
Ca1 0.0000 0.0000 0.0000
Nd1 0.2500 0.2500 0.2500
Nd2 0.7500 0.7500 0.7500
Y1 0.5000 0.5000 0.5000

---

Record 6
CaNd2Y after structural relaxation, computed with PBE.

Properties
**Offset from the most stable computed form**: 0.05 eV per formula unit
**DOS(E_F)**: 5.9 states/eV/f.u.
**Symmetry**: P4/mmm (123)
**Crystal system**: tetragonal

a = 3.6719 Å, b = 3.6719 Å, c = 10.6018 Å
α = 90.00°, β = 90.00°, γ = 90.00°
Positions (direct):
Ca1 0.0000 0.0000 0.0000
Nd1 0.5000 0.5000 0.2641
Nd2 0.5000 0.5000 0.7359
Y1 0.0000 0.0000 0.5000

---

no.,calculated volume (Å³ per cell)
1,300.6
2,503.7
3,487.3
4,395.7
5,142.7
6,142.9